Material: K2NaMgHg2
Method: DFT, GGA-PBE
State: optimized geometry

Calculated values
Symmetry = Ibam
Volume = 424.2 Å³/cell
N(E_F) = 7.4 states/eV/cell
Calculated formation energy = -0.18 eV per atom

a b c (Å): 7.0269 7.1438 9.8248
angles (deg): 111.32 110.95 90.00
With the nearest neighbours (Å) after each atom.
Sites, in units of the cell vectors:
Hg 0.6152 0.3955 0.7910  2 Mg 2.95, 2 Na 3.19
Hg 0.8242 0.1045 0.2090  2 Mg 2.95, 2 Na 3.19
Hg 0.3848 0.6045 0.2090  2 Mg 2.95, 2 Na 3.19
Hg 0.1758 0.8955 0.7910  2 Mg 2.95, 2 Na 3.19
Na 0.0000 0.7500 0.0000  4 Hg 3.19, 2 Mg 3.51, 2 Na 3.57
Na 0.0000 0.2500 0.0000  4 Hg 3.19, 2 Mg 3.51, 2 Na 3.57
K 0.9424 0.6769 0.3538  5 Hg 3.62-3.82, 2 Na 3.85, 2 Mg 3.95
K 0.4114 0.1769 0.3538  5 Hg 3.62-3.82, 2 Na 3.85, 2 Mg 3.95
K 0.5886 0.8231 0.6462  5 Hg 3.62-3.82, 2 Na 3.85, 2 Mg 3.95
K 0.0576 0.3231 0.6462  5 Hg 3.62-3.82, 2 Na 3.85, 2 Mg 3.95
Mg 0.5000 0.7500 0.0000  4 Hg 2.95
Mg 0.5000 0.2500 0.0000  4 Hg 2.95